The following is a DFT calculation (SCAN) of CoPt3 at its PBEsol-relaxed geometry.

Lattice parameters (Å, degrees): 8.9918 2.7077 4.6925 90.00 100.47 90.00
With the nearest neighbours (Å) after each atom.
Space group C2/m (No. 12)
Symmetry-distinct sites (fractional):
Co1 0.0000 0.0000 0.0000 x2  10 Pt 2.65-2.75, 2 Co 2.71
Pt1 0.0000 0.5000 0.5000 x2  8 Pt 2.69-2.75, 4 Co 2.71
Pt2 0.2442 0.5000 0.2426 x4  3 Co 2.65-2.75, 9 Pt 2.67-2.75

Properties
Spin magnetization, Bohr magnetons per cell: 5.9
Total energy, eV/atom: -57.060